No. 1
Computed, not measured: a relaxed ReB3Pd crystal at the GGA-PBEsol level of DFT.

**M_tot**: 0.01 μB per formula unit
**Crystal system**: cubic
**Formation energy from the elements**: 9.73 eV per formula unit
**Calculated total energy**: -30.6 eV per formula unit

Cell: 3.9172 3.9172 3.9172 Å, 90.00 90.00 90.00°
Closest atoms and distances in Å follow each position.
Space group Pm-3m (No. 221)
One atom of each set of equivalent atoms:
1 Re 0.0000 0.0000 0.0000 [1 per cell]  12 B 2.77
2 B 0.0000 0.5000 0.5000 [3 per cell]  2 Pd 1.96
3 Pd 0.5000 0.5000 0.5000 [1 per cell]  6 B 1.96

---

No. 2
Computed, not measured: a relaxed Sc2BPdRh crystal at the GGA-PBEsol level of DFT.

**M_tot**: 0.00 μB per formula unit
**Crystal system**: tetragonal
**Formation energy from the elements**: 4.34 eV per formula unit
**Calculated total energy**: -30.0 eV per formula unit

Cell: 4.7199 4.7199 4.8020 Å, 90.00 90.00 90.00°
Closest atoms and distances in Å follow each position.
Space group P4/mmm (No. 123)
One atom of each set of equivalent atoms:
1 Sc 0.0000 0.5000 0.0000 [2 per cell]  2 Rh 2.36
2 B 0.0000 0.0000 0.5000 [1 per cell]  4 Pd 3.34, 8 Sc 3.37
3 Pd 0.5000 0.5000 0.5000 [1 per cell]  2 Rh 2.40
4 Rh 0.5000 0.5000 0.0000 [1 per cell]  4 Sc 2.36, 2 Pd 2.40

---

Copy entry 2 word for word.
Computed, not measured: a relaxed Sc2BPdRh crystal at the GGA-PBEsol level of DFT.

**M_tot**: 0.00 μB per formula unit
**Crystal system**: tetragonal
**Formation energy from the elements**: 4.34 eV per formula unit
**Calculated total energy**: -30.0 eV per formula unit

Cell: 4.7199 4.7199 4.8020 Å, 90.00 90.00 90.00°
Closest atoms and distances in Å follow each position.
Space group P4/mmm (No. 123)
One atom of each set of equivalent atoms:
1 Sc 0.0000 0.5000 0.0000 [2 per cell]  2 Rh 2.36
2 B 0.0000 0.0000 0.5000 [1 per cell]  4 Pd 3.34, 8 Sc 3.37
3 Pd 0.5000 0.5000 0.5000 [1 per cell]  2 Rh 2.40
4 Rh 0.5000 0.5000 0.0000 [1 per cell]  4 Sc 2.36, 2 Pd 2.40

---

What did the first record say?
Computed, not measured: a relaxed ReB3Pd crystal at the GGA-PBEsol level of DFT.

**M_tot**: 0.01 μB per formula unit
**Crystal system**: cubic
**Formation energy from the elements**: 9.73 eV per formula unit
**Calculated total energy**: -30.6 eV per formula unit

Cell: 3.9172 3.9172 3.9172 Å, 90.00 90.00 90.00°
Closest atoms and distances in Å follow each position.
Space group Pm-3m (No. 221)
One atom of each set of equivalent atoms:
1 Re 0.0000 0.0000 0.0000 [1 per cell]  12 B 2.77
2 B 0.0000 0.5000 0.5000 [3 per cell]  2 Pd 1.96
3 Pd 0.5000 0.5000 0.5000 [1 per cell]  6 B 1.96